RbNa2WF6, optimized geometry, DFT PBE with a Hubbard U; total DFT energy (no corrections) = -4.93 eV/atom; volume = 170.46 Å³/f.u.
1.0
6.204 0.000 0.000
0.000 6.312 0.000
-6.084 0.000 8.706
Rb Na W F
2 4 2 12
Cartesian
0.000 0.000 0.000
-3.042 3.156 4.353
-2.877 0.087 6.210
0.165 3.069 1.857
-0.045 3.243 6.849
2.997 6.226 2.496
0.060 0.000 4.353
3.102 3.156 0.000
-1.885 0.783 4.152
-4.927 2.373 8.505
-0.690 4.663 3.233
-3.732 4.806 7.586
0.852 0.987 2.628
-2.190 2.169 6.981
2.310 4.144 1.725
-0.732 5.325 6.078
3.852 1.507 1.120
0.810 1.650 5.473
5.046 3.939 0.201
2.004 5.529 4.554